A plane-wave DFT calculation with PBE was carried out for an optimized crystal structure of AcZr2.

```
data_AcZr2
_symmetry_space_group_name_H-M 'P 1'
_symmetry_Int_Tables_number 1
_symmetry_space_group_name_Hall 'P 1'
_cell_length_a 17.8381
_cell_length_b 3.3672
_cell_length_c 5.5731
_cell_angle_alpha 90.00
_cell_angle_beta 90.00
_cell_angle_gamma 90.00
loop_
_atom_site_label
_atom_site_type_symbol
_atom_site_fract_x
_atom_site_fract_y
_atom_site_fract_z
_atom_site_occupancy
Ac1 Ac 0.3428 0.0000 0.0000 1
Ac2 Ac 0.1011 0.0000 0.5000 1
Zr1 Zr 0.2696 0.5000 0.5000 1
Zr2 Zr 0.7702 0.0000 0.5000 1
Zr3 Zr 0.1743 0.5000 0.0000 1
Ac3 Ac 0.6016 0.5000 0.5000 1
Zr4 Zr 0.4304 0.0000 0.5000 1
Zr5 Zr 0.5141 0.5000 0.0000 1
Zr6 Zr 0.9307 0.5000 0.5000 1
Ac4 Ac 0.8433 0.5000 0.0000 1
Zr7 Zr 0.6748 0.0000 0.0000 1
Zr8 Zr 0.0137 0.0000 0.0000 1
```

Output
Its total magnetization is 0.0 μB per cell. The value obtained for the calculated formation energy is 29 kJ/mol of atoms. As for the space group: Pmmn, No. 59. The distance to the lowest polymorph of the same formula comes out at 111 meV per atom.